The following is a PBE calculation of MnReTc2 after structural relaxation, from Alexandria.

Final energy (eV/atom): -10.4816
Volume (A^3/atom): 13.99
N(E_F) (states/eV/f.u.): 4.7
ΔE_f (eV per atom): 0.106
Symmetry: C2/m (12)

Cell: 4.655 4.655 4.695 Å, 80.42 80.42 33.97°
Fractional coordinates of all 4 atoms:
Tc1 0.996 0.996 0.009
Mn1 0.250 0.250 0.250
Re1 0.750 0.750 0.750
Tc2 0.504 0.504 0.491